# 1
VASP calculation (PBE-GGA) on crystalline TbTh2Pt9 at its relaxed geometry.

Unit cell a=5.4442 b=5.4442 c=27.0518 alpha=90.00 beta=90.00 gamma=120.00
Space group R-3m (No. 166, hexagonal axes)
Inequivalent atoms, fractional coordinates:
Tb: 0.0000 0.0000 0.0000 x3
Th: 0.0000 0.0000 0.1369 x6
Pt: 0.0000 0.0000 0.3330 x6
Pt: 0.0000 0.0000 0.5000 x3
Pt: 0.0041 0.5021 0.9152 x18

Output
distance to the lowest polymorph of the same formula: 155 meV per atom
formation energy: -0.950 eV/atom
V: 231 Å³/f.u.
total magnetic moment: 0.00 μB per formula unit


# 2
VASP calculation (PBE-GGA) on crystalline Er2MgGa3Pd4 at its relaxed geometry.

Unit cell a=4.011 b=4.011 c=11.650 alpha=90.00 beta=90.00 gamma=90.00
Space group P-4m2 (No. 115)
Inequivalent atoms, fractional coordinates:
Er: 0.000 0.500 0.243 x2
Mg: 0.000 0.000 0.500 x1
Ga: 0.000 0.500 0.867 x2
Ga: 0.500 0.500 0.500 x1
Pd: 0.000 0.000 0.000 x1
Pd: 0.000 0.500 0.652 x2
Pd: 0.500 0.500 0.000 x1

Output
formation energy: -0.756 eV/atom
V: 187 Å³/f.u.
total magnetic moment: 0.00 μB per formula unit


# 3
VASP calculation (PBE-GGA) on crystalline SiPOs2 at its relaxed geometry.

Unit cell a=2.881 b=4.835 c=8.165 alpha=90.00 beta=90.00 gamma=90.00
Space group Cmm2 (No. 35)
Inequivalent atoms, fractional coordinates:
Si: 0.000 0.000 0.000 x2
P: 0.000 0.500 0.249 x2
Os: 0.000 0.000 0.475 x2
Os: 0.000 0.500 0.768 x2

Output
distance to the lowest polymorph of the same formula: 629 meV per atom
V: 57 Å³/f.u.
E_form (uncorrected): 0.47 eV per atom
total magnetic moment: 0.00 μB per formula unit


# 4
VASP calculation (PBE-GGA) on crystalline Ac3Ge2Rh2 at its relaxed geometry.

Unit cell a=4.419 b=4.559 c=18.873 alpha=90.00 beta=90.00 gamma=90.00
Space group Immm (No. 71)
Inequivalent atoms, fractional coordinates:
Ac: 0.000 0.000 0.000 x2
Ac: 0.000 0.500 0.179 x4
Ge: 0.000 0.500 0.365 x4
Rh: 0.000 0.000 0.427 x4

Output
formation energy: -0.736 eV/atom
V: 190 Å³/f.u.
total magnetic moment: 0.00 μB per formula unit


# 5
VASP calculation (PBE-GGA) on crystalline Ho3GaSi2Pd9 at its relaxed geometry.

Unit cell a=5.6768 b=5.6768 c=10.8577 alpha=90.00 beta=90.00 gamma=120.00
Space group P-3m1 (No. 164)
Inequivalent atoms, fractional coordinates:
Ho: 0.0000 0.0000 0.0000 x1
Ho: 0.3333 0.6667 0.7511 x2
Ga: 0.0000 0.0000 0.5000 x1
Si: 0.3333 0.6667 0.1658 x2
Pd: 0.0000 0.5000 0.0000 x3
Pd: 0.1628 0.3257 0.3194 x6

Output
V: 303 Å³/f.u.
E_form (uncorrected): -0.66 eV per atom
total magnetic moment: 0.00 μB per formula unit


# 6
VASP calculation (PBE-GGA) on crystalline Ta at its relaxed geometry.

Unit cell a=3.091 b=4.833 c=10.229 alpha=90.00 beta=90.00 gamma=90.00
Space group Fmmm (No. 69)
Inequivalent atoms, fractional coordinates:
Ta: 0.000 0.000 0.135 x8

Output
distance to the lowest polymorph of the same formula: 405 meV per atom
formation energy: 0.405 eV/atom
V: 19 Å³/f.u.
total magnetic moment: 0.00 μB per formula unit


Number 1: raw total energy -7.103 eV per atom. Number 2: raw total energy -4.814 eV per atom. Number 3: raw total energy -7.858 eV per atom. Number 4: raw total energy -5.917 eV per atom. Number 5: raw total energy -5.616 eV per atom. Number 6: raw total energy -11.448 eV per atom.